Material: CdSi3
Method: DFT, PBE-GGA
State: optimized geometry

Unit cell a=2.6507 b=3.7089 c=7.4585 alpha=90.00 beta=90.08 gamma=90.00
Closest atoms and distances in Å follow each position.
Fractional positions:
1 Cd 0.0000 0.0000 0.0000  2 Cd 2.65
2 Si 0.5000 0.0000 0.5000  6 Si 2.48-2.65
3 Si 0.5000 0.5000 0.2794  4 Si 2.48-2.65
4 Si 0.5000 0.5000 0.7206  4 Si 2.48-2.65

Results
Mass density   4.5 Mg/m³
Energy relative to the elements, uncorrected   0.39 eV/atom
Space-group type   P2/m
Volume   73.3 Å³/cell
Spin magnetization   0.0 μB per cell